# 1
A plane-wave DFT calculation with PBE-GGA was carried out for a relaxed K3HfMg crystal.

Cell lengths 6.8192, 6.8192, 6.8192 Å; angles 90.00, 90.00, 90.00 degrees
Closest atoms and distances in Å follow each position.
Space group Pm-3m (No. 221)
Symmetry-distinct sites (fractional):
K 0.0000 0.0000 0.5000  2 Hf 3.41
Hf 0.0000 0.0000 0.0000  6 K 3.41
Mg 0.5000 0.5000 0.5000  12 K 4.82

## Properties
- energy (hartree per atom) = -0.0615
- DOS(E_F) (states/eV/atom) = 0.84


# 2
A plane-wave DFT calculation with PBE-GGA was carried out for a relaxed KHfMg3 crystal.

Cell lengths 5.8140, 5.8140, 5.8140 Å; angles 90.00, 90.00, 90.00 degrees
Closest atoms and distances in Å follow each position.
Space group Pm-3m (No. 221)
Symmetry-distinct sites (fractional):
K 0.0000 0.0000 0.0000  12 Mg 4.11
Hf 0.5000 0.5000 0.5000  6 Mg 2.91
Mg 0.0000 0.5000 0.5000  2 Hf 2.91

## Properties
- distance to the lowest polymorph of the same formula (meV per atom) = 0
- energy (hartree per atom) = -0.0850
- DOS(E_F) (states/eV/atom) = 1.13


# 3
A plane-wave DFT calculation with PBE-GGA was carried out for a relaxed KHf2Mg crystal.

Cell lengths 8.6378, 8.6378, 5.9064 Å; angles 90.00, 90.00, 90.00 degrees
Closest atoms and distances in Å follow each position.
Space group I-42d (No. 122)
Symmetry-distinct sites (fractional):
K 0.0000 0.0000 0.0000  2 Mg 2.95, 4 Hf 3.29
Hf 0.2259 0.7500 0.6250  2 Hf 2.98, 2 Mg 3.00, 2 K 3.29
Mg 0.0000 0.0000 0.5000  2 K 2.95, 4 Hf 3.00

## Properties
- energy (hartree per atom) = -0.1619
- DOS(E_F) (states/eV/atom) = 0.39


# 4
A plane-wave DFT calculation with PBE-GGA was carried out for a relaxed KHfMg6 crystal.

Cell lengths 6.6510, 6.6510, 5.2098 Å; angles 90.00, 90.00, 120.00 degrees
Closest atoms and distances in Å follow each position.
Space group P-6m2 (No. 187)
Symmetry-distinct sites (fractional):
K 0.0000 0.0000 0.0000  12 Mg 3.30-3.33
Hf 0.3333 0.6667 0.5000  12 Mg 3.19-3.33
Mg 0.0149 0.5074 0.0000  8 Mg 3.18-3.47, 2 Hf 3.19, 2 K 3.33
Mg 0.3531 0.1765 0.5000  6 Mg 3.13-3.23, 2 K 3.30, 2 Hf 3.33

## Properties
- distance to the lowest polymorph of the same formula (meV per atom) = 0
- energy (hartree per atom) = -0.0862
- DOS(E_F) (states/eV/atom) = 0.89


# 5
A plane-wave DFT calculation with PBE-GGA was carried out for a relaxed KHfMg2 crystal.

Cell lengths 7.6315, 7.6315, 7.6315 Å; angles 90.00, 90.00, 90.00 degrees
Closest atoms and distances in Å follow each position.
Space group Fm-3m (No. 225)
Symmetry-distinct sites (fractional):
K 0.0000 0.0000 0.0000  8 Mg 3.30
Hf 0.0000 0.0000 0.5000  8 Mg 3.30
Mg 0.2500 0.2500 0.2500  4 Hf 3.30, 4 K 3.30

## Properties
- distance to the lowest polymorph of the same formula (meV per atom) = 0
- energy (hartree per atom) = -0.1060
- DOS(E_F) (states/eV/atom) = 0.96


# 6
A plane-wave DFT calculation with PBE-GGA was carried out for a relaxed KHfMg2 crystal.

Cell lengths 8.5280, 8.5280, 6.8401 Å; angles 90.00, 90.00, 90.00 degrees
Closest atoms and distances in Å follow each position.
Space group I-42d (No. 122)
Symmetry-distinct sites (fractional):
K 0.0000 0.0000 0.0000  4 Mg 3.28, 2 Hf 3.42
Hf 0.0000 0.0000 0.5000  4 Mg 3.00
Mg 0.2257 0.2500 0.6250  2 Hf 3.00, 2 K 3.28

## Properties
- distance to the lowest polymorph of the same formula (meV per atom) = 295
- energy (hartree per atom) = -0.0951
- DOS(E_F) (states/eV/atom) = 0.92


Question: What is the formula in the first record?
Answer: K3HfMg